(1)
Computed, not measured: an optimized crystal structure of Li4FeH6 at the PBE level of DFT.

Properties
calculated total energy	-3.6630	eV per atom

Geometry as CIF:
```
data_Li4FeH6
_cell_length_a 5.619
_cell_length_b 5.619
_cell_length_c 5.768
_cell_angle_alpha 90.00
_cell_angle_beta 90.00
_cell_angle_gamma 90.00
_symmetry_space_group_name_H-M 'P 4/m n c'
_symmetry_Int_Tables_number 128
_symmetry_space_group_name_Hall '-P 4 2n'
loop_
_atom_site_label
_atom_site_fract_x
_atom_site_fract_y
_atom_site_fract_z
_atom_site_occupancy
Li1 0.201 0.299 0.250 1
Fe1 0.000 0.000 0.000 1
H1 0.000 0.000 0.278 1
H2 0.057 0.719 0.000 1
```

---

(2)
Computed, not measured: an optimized crystal structure of Co2BiPd at the PBE level of DFT.

Properties
energy relative to the elements	0.478	eV per atom
calculated total energy	-5.3429	eV per atom

Geometry as CIF:
```
data_Co2BiPd
_cell_length_a 3.933
_cell_length_b 3.933
_cell_length_c 18.570
_cell_angle_alpha 90.00
_cell_angle_beta 90.00
_cell_angle_gamma 90.00
_symmetry_space_group_name_H-M 'I -4 2 d'
_symmetry_Int_Tables_number 122
_symmetry_space_group_name_Hall 'I -4 2bw'
loop_
_atom_site_label
_atom_site_fract_x
_atom_site_fract_y
_atom_site_fract_z
_atom_site_occupancy
Co1 0.161 0.250 0.125 1
Bi1 0.000 0.000 0.500 1
Pd1 0.000 0.000 0.000 1
```

---

(3)
Computed, not measured: an optimized crystal structure of La2ErTmSe5 at the PBE level of DFT.

Properties
energy relative to the elements, uncorrected	-1250	kJ/mol of formula units
calculated total energy	-5.4742	eV per atom

Geometry as CIF:
```
data_La2ErTmSe5
_cell_length_a 5.084
_cell_length_b 5.084
_cell_length_c 10.677
_cell_angle_alpha 90.00
_cell_angle_beta 90.00
_cell_angle_gamma 90.00
_symmetry_space_group_name_H-M 'P 4/m m m'
_symmetry_Int_Tables_number 123
_symmetry_space_group_name_Hall '-P 4 2'
loop_
_atom_site_label
_atom_site_fract_x
_atom_site_fract_y
_atom_site_fract_z
_atom_site_occupancy
La1 0.000 0.000 0.201 1
Er1 0.500 0.500 0.500 1
Tm1 0.500 0.500 0.000 1
Se1 0.000 0.000 0.500 1
Se2 0.000 0.500 0.000 1
Se3 0.500 0.500 0.255 1
```

---

(4)
Computed, not measured: an optimized crystal structure of GeMoP2Se at the PBE level of DFT.

Properties
energy relative to the elements, uncorrected	638	kJ/mol of formula units
calculated total energy	-4.6283	eV per atom

Geometry as CIF:
```
data_GeMoP2Se
_cell_length_a 4.818
_cell_length_b 4.818
_cell_length_c 4.771
_cell_angle_alpha 90.00
_cell_angle_beta 90.00
_cell_angle_gamma 90.00
_symmetry_space_group_name_H-M 'P 4/m m m'
_symmetry_Int_Tables_number 123
_symmetry_space_group_name_Hall '-P 4 2'
loop_
_atom_site_label
_atom_site_fract_x
_atom_site_fract_y
_atom_site_fract_z
_atom_site_occupancy
Ge1 0.000 0.000 0.000 1
Mo1 0.500 0.500 0.000 1
P1 0.000 0.500 0.500 1
Se1 0.500 0.500 0.500 1
```

---

(5)
Computed, not measured: an optimized crystal structure of KSn2Pd2 at the PBE level of DFT.

Properties
energy relative to the elements	-0.332	eV per atom
calculated total energy	-4.2296	eV per atom
offset from the most stable computed form	87	meV per atom

Geometry as CIF:
```
data_KSn2Pd2
_cell_length_a 8.426
_cell_length_b 8.426
_cell_length_c 3.091
_cell_angle_alpha 90.00
_cell_angle_beta 90.00
_cell_angle_gamma 90.00
_symmetry_space_group_name_H-M 'P 4/m b m'
_symmetry_Int_Tables_number 127
_symmetry_space_group_name_Hall '-P 4 2ab'
loop_
_atom_site_label
_atom_site_fract_x
_atom_site_fract_y
_atom_site_fract_z
_atom_site_occupancy
K1 0.000 0.000 0.000 1
Sn1 0.148 0.352 0.500 1
Pd1 0.140 0.640 0.000 1
```

---

(6)
Computed, not measured: an optimized crystal structure of Zr2TlTe at the PBE level of DFT.

Properties
energy relative to the elements, uncorrected	-100	kJ/mol of formula units
calculated total energy	-5.9094	eV per atom
offset from the most stable computed form	92	meV per atom

Geometry as CIF:
```
data_Zr2TlTe
_cell_length_a 3.5828
_cell_length_b 3.5828
_cell_length_c 26.5723
_cell_angle_alpha 90.00
_cell_angle_beta 90.00
_cell_angle_gamma 120.00
_symmetry_space_group_name_H-M 'R 3 m'
_symmetry_Int_Tables_number 160
_symmetry_space_group_name_Hall 'R 3 -2"'
loop_
_atom_site_label
_atom_site_fract_x
_atom_site_fract_y
_atom_site_fract_z
_atom_site_occupancy
Zr1 0.0000 0.0000 0.0000 1
Zr2 0.0000 0.0000 0.1767 1
Tl1 0.0000 0.0000 0.4218 1
Te1 0.0000 0.0000 0.5883 1
```

---

(7)
Computed, not measured: an optimized crystal structure of Be2TlCd at the PBE level of DFT.

Properties
energy relative to the elements	0.675	eV per atom
calculated total energy	-2.0085	eV per atom
offset from the most stable computed form	211	meV per atom

Geometry as CIF:
```
data_Be2TlCd
_cell_length_a 3.1887
_cell_length_b 3.1887
_cell_length_c 23.7545
_cell_angle_alpha 90.00
_cell_angle_beta 90.00
_cell_angle_gamma 120.00
_symmetry_space_group_name_H-M 'R -3 m'
_symmetry_Int_Tables_number 166
_symmetry_space_group_name_Hall '-R 3 2"'
loop_
_atom_site_label
_atom_site_fract_x
_atom_site_fract_y
_atom_site_fract_z
_atom_site_occupancy
Be1 0.0000 0.0000 0.2466 1
Tl1 0.0000 0.0000 0.0000 1
Cd1 0.0000 0.0000 0.5000 1
```

---

(8)
Computed, not measured: an optimized crystal structure of Pm9Y2Tm at the PBE level of DFT.

Properties
energy relative to the elements	0.016	eV per atom
calculated total energy	-4.9971	eV per atom

Geometry as CIF:
```
data_Pm9Y2Tm
_cell_length_a 5.124
_cell_length_b 5.124
_cell_length_c 15.376
_cell_angle_alpha 90.00
_cell_angle_beta 90.00
_cell_angle_gamma 90.00
_symmetry_space_group_name_H-M 'P 4/m m m'
_symmetry_Int_Tables_number 123
_symmetry_space_group_name_Hall '-P 4 2'
loop_
_atom_site_label
_atom_site_fract_x
_atom_site_fract_y
_atom_site_fract_z
_atom_site_occupancy
Pm1 0.000 0.000 0.000 1
Pm2 0.000 0.000 0.333 1
Pm3 0.000 0.500 0.165 1
Pm4 0.000 0.500 0.500 1
Y1 0.500 0.500 0.333 1
Tm1 0.500 0.500 0.000 1
```

---

(9)
Computed, not measured: an optimized crystal structure of Pm4Er5Tm2 at the PBE level of DFT.

Properties
energy relative to the elements	0.227	eV per atom
calculated total energy	-4.3873	eV per atom
offset from the most stable computed form	118	meV per atom

Geometry as CIF:
```
data_Pm4Er5Tm2
_cell_length_a 23.833
_cell_length_b 3.496
_cell_length_c 8.827
_cell_angle_alpha 90.00
_cell_angle_beta 99.49
_cell_angle_gamma 90.00
_symmetry_space_group_name_H-M 'C 1 2/m 1'
_symmetry_Int_Tables_number 12
loop_
_symmetry_equiv_pos_as_xyz
'x,y,z'
'-x,-y,-z'
'-x,y,-z'
'x,-y,z'
'x+1/2,y+1/2,z'
'-x+1/2,-y+1/2,-z'
'-x+1/2,y+1/2,-z'
'x+1/2,-y+1/2,z'
loop_
_atom_site_label
_atom_site_fract_x
_atom_site_fract_y
_atom_site_fract_z
_atom_site_occupancy
Pm1 0.027 0.000 0.193 1
Pm2 0.130 0.500 0.034 1
Er1 0.000 0.500 0.500 1
Er2 0.181 0.000 0.401 1
Er3 0.231 0.000 0.827 1
Tm1 0.102 0.000 0.692 1
```

---

(10)
Computed, not measured: an optimized crystal structure of AlSbOs2 at the PBE level of DFT.

Properties
energy relative to the elements, uncorrected	132	kJ/mol of formula units
calculated total energy	-7.2388	eV per atom
offset from the most stable computed form	269	meV per atom

Geometry as CIF:
```
data_AlSbOs2
_cell_length_a 2.9968
_cell_length_b 2.9968
_cell_length_c 24.9479
_cell_angle_alpha 90.00
_cell_angle_beta 90.00
_cell_angle_gamma 120.00
_symmetry_space_group_name_H-M 'R -3 m'
_symmetry_Int_Tables_number 166
_symmetry_space_group_name_Hall '-R 3 2"'
loop_
_atom_site_label
_atom_site_fract_x
_atom_site_fract_y
_atom_site_fract_z
_atom_site_occupancy
Al1 0.0000 0.0000 0.0000 1
Sb1 0.0000 0.0000 0.5000 1
Os1 0.0000 0.0000 0.2530 1
```

---

(11)
Computed, not measured: an optimized crystal structure of La2BeTl at the PBE level of DFT.

Properties
energy relative to the elements	-0.032	eV per atom
calculated total energy	-4.0191	eV per atom
offset from the most stable computed form	71	meV per atom

Geometry as CIF:
```
data_La2BeTl
_cell_length_a 4.673
_cell_length_b 4.343
_cell_length_c 6.015
_cell_angle_alpha 90.00
_cell_angle_beta 110.62
_cell_angle_gamma 90.00
_symmetry_space_group_name_H-M 'P 1 m 1'
_symmetry_Int_Tables_number 6
loop_
_symmetry_equiv_pos_as_xyz
'x,y,z'
'x,-y,z'
loop_
_atom_site_label
_atom_site_fract_x
_atom_site_fract_y
_atom_site_fract_z
_atom_site_occupancy
La1 0.000 0.000 0.000 1
La2 0.276 0.500 0.592 1
Be1 0.570 0.500 0.159 1
Tl1 0.689 0.000 0.412 1
```

---

(12)
Computed, not measured: an optimized crystal structure of PaAgSnHg at the PBE level of DFT.

Properties
energy relative to the elements	0.039	eV per atom
calculated total energy	-4.1244	eV per atom

Geometry as CIF:
```
data_PaAgSnHg
_cell_length_a 7.240
_cell_length_b 7.240
_cell_length_c 7.240
_cell_angle_alpha 90.00
_cell_angle_beta 90.00
_cell_angle_gamma 90.00
_symmetry_space_group_name_H-M 'F -4 3 m'
_symmetry_Int_Tables_number 216
_symmetry_space_group_name_Hall 'F -4 2 3'
loop_
_atom_site_label
_atom_site_fract_x
_atom_site_fract_y
_atom_site_fract_z
_atom_site_occupancy
Pa1 0.000 0.000 0.000 1
Ag1 0.000 0.000 0.500 1
Sn1 0.250 0.250 0.750 1
Hg1 0.250 0.250 0.250 1
```

---

(13)
Computed, not measured: an optimized crystal structure of SbRuNF2 at the PBE level of DFT.

Properties
energy relative to the elements, uncorrected	120	kJ/mol of formula units
calculated total energy	-4.8440	eV per atom
offset from the most stable computed form	489	meV per atom

Geometry as CIF:
```
data_SbRuNF2
_cell_length_a 4.415
_cell_length_b 4.415
_cell_length_c 4.132
_cell_angle_alpha 90.00
_cell_angle_beta 90.00
_cell_angle_gamma 90.00
_symmetry_space_group_name_H-M 'P 4/m m m'
_symmetry_Int_Tables_number 123
_symmetry_space_group_name_Hall '-P 4 2'
loop_
_atom_site_label
_atom_site_fract_x
_atom_site_fract_y
_atom_site_fract_z
_atom_site_occupancy
Sb1 0.000 0.000 0.000 1
Ru1 0.500 0.500 0.500 1
N1 0.000 0.000 0.500 1
F1 0.000 0.500 0.000 1
```

---

(14)
Computed, not measured: an optimized crystal structure of ScGa2Bi2 at the PBE level of DFT.

Properties
energy relative to the elements	0.009	eV per atom
calculated total energy	-4.0207	eV per atom
offset from the most stable computed form	102	meV per atom

Geometry as CIF:
```
data_ScGa2Bi2
_cell_length_a 7.879
_cell_length_b 7.879
_cell_length_c 4.251
_cell_angle_alpha 90.00
_cell_angle_beta 90.00
_cell_angle_gamma 90.00
_symmetry_space_group_name_H-M 'P 4/m b m'
_symmetry_Int_Tables_number 127
_symmetry_space_group_name_Hall '-P 4 2ab'
loop_
_atom_site_label
_atom_site_fract_x
_atom_site_fract_y
_atom_site_fract_z
_atom_site_occupancy
Sc1 0.000 0.000 0.000 1
Ga1 0.160 0.340 0.500 1
Bi1 0.149 0.649 0.000 1
```

---

(15)
Computed, not measured: an optimized crystal structure of Ba4Pt at the PBE level of DFT.

Properties
energy relative to the elements	0.256	eV per atom
calculated total energy	-2.4903	eV per atom
offset from the most stable computed form	670	meV per atom

Geometry as CIF:
```
data_Ba4Pt
_cell_length_a 4.539
_cell_length_b 4.539
_cell_length_c 23.009
_cell_angle_alpha 90.00
_cell_angle_beta 90.00
_cell_angle_gamma 90.00
_symmetry_space_group_name_H-M 'I 4/m m m'
_symmetry_Int_Tables_number 139
_symmetry_space_group_name_Hall '-I 4 2'
loop_
_atom_site_label
_atom_site_fract_x
_atom_site_fract_y
_atom_site_fract_z
_atom_site_occupancy
Ba1 0.000 0.000 0.077 1
Ba2 0.000 0.500 0.250 1
Pt1 0.000 0.000 0.500 1
```

---

(16)
Computed, not measured: an optimized crystal structure of Sr3TlPb at the PBE level of DFT.

Properties
energy relative to the elements	-0.344	eV per atom
calculated total energy	-2.5683	eV per atom
offset from the most stable computed form	0	meV per atom

Geometry as CIF:
```
data_Sr3TlPb
_cell_length_a 7.438
_cell_length_b 5.310
_cell_length_c 10.404
_cell_angle_alpha 90.00
_cell_angle_beta 93.71
_cell_angle_gamma 90.00
_symmetry_space_group_name_H-M 'P 1 m 1'
_symmetry_Int_Tables_number 6
loop_
_symmetry_equiv_pos_as_xyz
'x,y,z'
'x,-y,z'
loop_
_atom_site_label
_atom_site_fract_x
_atom_site_fract_y
_atom_site_fract_z
_atom_site_occupancy
Sr1 0.000 0.000 0.000 1
Sr2 0.041 0.500 0.374 1
Sr3 0.301 0.000 0.651 1
Sr4 0.492 0.000 0.288 1
Sr5 0.612 0.500 0.840 1
Sr6 0.805 0.000 0.615 1
Tl1 0.289 0.500 0.086 1
Tl2 0.475 0.000 0.973 1
Pb1 0.060 0.500 0.776 1
Pb2 0.540 0.500 0.499 1
```

---

(17)
Computed, not measured: an optimized crystal structure of PmPaBe4 at the PBE level of DFT.

Properties
energy relative to the elements	0.210	eV per atom
calculated total energy	-4.6482	eV per atom

Geometry as CIF:
```
data_PmPaBe4
_cell_length_a 7.140
_cell_length_b 7.140
_cell_length_c 7.140
_cell_angle_alpha 90.00
_cell_angle_beta 90.00
_cell_angle_gamma 90.00
_symmetry_space_group_name_H-M 'F -4 3 m'
_symmetry_Int_Tables_number 216
_symmetry_space_group_name_Hall 'F -4 2 3'
loop_
_atom_site_label
_atom_site_fract_x
_atom_site_fract_y
_atom_site_fract_z
_atom_site_occupancy
Pm1 0.000 0.000 0.000 1
Pa1 0.250 0.250 0.250 1
Be1 0.122 0.122 0.622 1
```

---

(18)
Computed, not measured: an optimized crystal structure of SmGdScCd at the PBE level of DFT.

Properties
energy relative to the elements	-0.056	eV per atom
calculated total energy	-6.5681	eV per atom

Geometry as CIF:
```
data_SmGdScCd
_cell_length_a 7.632
_cell_length_b 7.632
_cell_length_c 7.632
_cell_angle_alpha 90.00
_cell_angle_beta 90.00
_cell_angle_gamma 90.00
_symmetry_space_group_name_H-M 'F -4 3 m'
_symmetry_Int_Tables_number 216
_symmetry_space_group_name_Hall 'F -4 2 3'
loop_
_atom_site_label
_atom_site_fract_x
_atom_site_fract_y
_atom_site_fract_z
_atom_site_occupancy
Sm1 0.000 0.000 0.000 1
Gd1 0.000 0.000 0.500 1
Sc1 0.250 0.250 0.750 1
Cd1 0.250 0.250 0.250 1
```

---

(19)
Computed, not measured: an optimized crystal structure of Tb3PmHo2Er6 at the PBE level of DFT.

Properties
energy relative to the elements	0.018	eV per atom
calculated total energy	-4.5794	eV per atom

Geometry as CIF:
```
data_Tb3PmHo2Er6
_cell_length_a 6.123
_cell_length_b 10.596
_cell_length_c 11.694
_cell_angle_alpha 90.00
_cell_angle_beta 100.00
_cell_angle_gamma 90.00
_symmetry_space_group_name_H-M 'C 1 2/m 1'
_symmetry_Int_Tables_number 12
loop_
_symmetry_equiv_pos_as_xyz
'x,y,z'
'-x,-y,-z'
'-x,y,-z'
'x,-y,z'
'x+1/2,y+1/2,z'
'-x+1/2,-y+1/2,-z'
'-x+1/2,y+1/2,-z'
'x+1/2,-y+1/2,z'
loop_
_atom_site_label
_atom_site_fract_x
_atom_site_fract_y
_atom_site_fract_z
_atom_site_occupancy
Tb1 0.000 0.000 0.000 1
Tb2 0.000 0.333 0.000 1
Pm1 0.000 0.500 0.500 1
Ho1 0.000 0.167 0.500 1
Er1 0.250 0.000 0.750 1
Er2 0.250 0.167 0.250 1
```

---

(20)
Computed, not measured: an optimized crystal structure of Rb2PuSbS4 at the PBE level of DFT.

Properties
energy relative to the elements, uncorrected	-848	kJ/mol of formula units
calculated total energy	-5.7107	eV per atom

Geometry as CIF:
```
data_Rb2PuSbS4
_cell_length_a 8.461
_cell_length_b 12.627
_cell_length_c 9.226
_cell_angle_alpha 90.00
_cell_angle_beta 90.00
_cell_angle_gamma 90.00
_symmetry_space_group_name_H-M 'I m a 2'
_symmetry_Int_Tables_number 46
loop_
_symmetry_equiv_pos_as_xyz
'x,y,z'
'-x,-y,z'
'-x+1/2,y,z'
'x+1/2,-y,z'
'x+1/2,y+1/2,z+1/2'
'-x+1/2,-y+1/2,z+1/2'
'-x,y+1/2,z+1/2'
'x,-y+1/2,z+1/2'
loop_
_atom_site_label
_atom_site_fract_x
_atom_site_fract_y
_atom_site_fract_z
_atom_site_occupancy
Rb1 0.000 0.000 0.000 1
Rb2 0.250 0.242 0.247 1
Pu1 0.000 0.000 0.526 1
Sb1 0.250 0.719 0.830 1
S1 0.024 0.724 0.000 1
S2 0.250 0.002 0.715 1
S3 0.250 0.517 0.811 1
```